DFT (PBE) results for crystalline CsAlI2N at its relaxed geometry.

Values from the calculation:
* excess energy over the best structure of this formula in the dataset: 0.0 meV per atom
* energy relative to the elements, uncorrected: -0.384 eV/atom
* E_tot: -17.943 eV/cell
* volume: 31.04 Å³/atom
* magnetic moment: 0.00 μB/atom

Lattice parameters (Å, degrees): 6.6144 6.6144 3.5479 90.00 90.00 90.00
Space group P4/mmm (No. 123)
Inequivalent atoms, fractional coordinates:
Cs 0.0000 0.0000 0.0000
Al 0.5000 0.5000 0.5000
I 0.0000 0.5000 0.5000
N 0.5000 0.5000 0.0000

DFT (PBE) results for crystalline CsAlIN2 at its relaxed geometry.

Values from the calculation:
* excess energy over the best structure of this formula in the dataset: 1100.3 meV per atom
* energy relative to the elements, uncorrected: 1.944 eV/atom
* E_tot: -13.077 eV/cell
* volume: 38.67 Å³/atom
* magnetic moment: 0.89 μB/atom

Lattice parameters (Å, degrees): 5.0072 5.0072 7.7124 90.00 90.00 90.00
Space group P4/mmm (No. 123)
Inequivalent atoms, fractional coordinates:
Cs 0.0000 0.0000 0.0000
Al 0.5000 0.5000 0.5000
I 0.0000 0.0000 0.5000
N 0.0000 0.5000 0.0000

DFT (PBE) results for crystalline CsAlIN2 at its relaxed geometry.

Values from the calculation:
* excess energy over the best structure of this formula in the dataset: 0.0 meV per atom
* energy relative to the elements, uncorrected: 0.844 eV/atom
* E_tot: -18.578 eV/cell
* volume: 21.61 Å³/atom
* magnetic moment: 0.60 μB/atom

Lattice parameters (Å, degrees): 4.4114 4.4114 5.5534 90.00 90.00 90.00
Space group P4/mmm (No. 123)
Inequivalent atoms, fractional coordinates:
Cs 0.0000 0.0000 0.0000
Al 0.5000 0.5000 0.5000
I 0.5000 0.5000 0.0000
N 0.0000 0.5000 0.5000